Na5Pd after structural relaxation. Source: Alexandria via LeMat-Bulk, functional PBE.

Cell and atoms, written as extended XYZ:
```
6
Lattice="4.952 0.000 0.000 0.000 4.897 0.000 0.000 -2.449 6.852" Properties=species:S:1:pos:R:3 pbc="T T T"
Pd 0.000 0.000 0.000
Na 2.476 2.449 4.868
Na 2.476 2.449 0.000
Na 2.476 0.000 1.984
Na 0.000 2.449 1.999
Na 0.000 0.000 4.853
```

Properties
theoretical density: 2.21 g/cm3
energy relative to the elements: 1 kJ/mol of atoms
energy: -0.072 Ha/atom
SG: Cmmm, No. 65
energy above the most stable polymorph in this dataset: 24.3 meV per atom